Entry 1:
First-principles (PBE-GGA) data for a relaxed structure of Tb3Dy2Tm6Sc, as listed in Alexandria.

Properties
ΔE_f (meV/atom): 30
Total energy (eV per atom): -4.66
D(E_F) (states/eV/f.u.): 16.84
Space group: No. 12

Unit cell a=6.053 b=6.053 c=11.580 alpha=94.99 beta=94.99 gamma=119.95
Sites, in units of the cell vectors:
Tb 0.000 0.000 0.000
Tb 0.334 0.666 0.000
Tb 0.666 0.334 0.000
Dy 0.167 0.833 0.500
Dy 0.833 0.167 0.500
Tm 0.087 0.418 0.253
Tm 0.251 0.251 0.747
Tm 0.418 0.087 0.253
Tm 0.582 0.913 0.747
Tm 0.749 0.749 0.253
Tm 0.913 0.582 0.747
Sc 0.500 0.500 0.500

***

Entry 2:
First-principles (PBE-GGA) data for a relaxed structure of Tb2DyTmSc, as listed in Alexandria.

Properties
ΔE_f (meV/atom): 367
Total energy (eV per atom): -4.57
D(E_F) (states/eV/f.u.): 7.07
Space group: No. 63

Unit cell a=6.908 b=6.908 c=7.064 alpha=90.00 beta=90.00 gamma=107.82
Sites, in units of the cell vectors:
Tb 0.198 0.198 0.000
Tb 0.198 0.198 0.500
Tb 0.802 0.802 0.000
Tb 0.802 0.802 0.500
Dy 0.231 0.769 0.750
Dy 0.769 0.231 0.250
Tm 0.231 0.769 0.250
Tm 0.769 0.231 0.750
Sc 0.499 0.501 0.750
Sc 0.501 0.499 0.250

***

Question: Number 2 is which compound?
Answer: Tb2DyTmSc